# 1
TmGe2Ir: optimized geometry, GGA-PBEsol.

a b c (Å): 9.3075 9.3075 9.3075
angles (deg): 154.01 123.80 62.93
Closest atoms and distances in Å follow each position.
Atoms (fractional coordinates):
Tm (0.2047, 0.2047, 0.0000)  8 Ge 2.89-3.05, 4 Ir 3.18
Tm (0.2382, 0.0000, 0.2382)  4 Ir 3.11, 10 Ge 3.20-3.34
Tm (0.7618, 0.0000, 0.7618)  4 Ir 3.11, 10 Ge 3.20-3.34
Tm (0.7953, 0.7953, 0.0000)  8 Ge 2.89-3.05, 4 Ir 3.18
Ge (0.0764, 0.5764, 0.5000)  1 Ge 2.43, 2 Ir 2.44
Ge (0.1465, 0.7983, 0.3482)  3 Ir 2.44-2.59, 1 Ge 2.66
Ge (0.4222, 0.4222, 0.0000)  2 Ir 2.44, 1 Ge 2.47
Ge (0.4501, 0.7983, 0.6518)  3 Ir 2.44-2.59, 1 Ge 2.66
Ge (0.5499, 0.2017, 0.3482)  3 Ir 2.44-2.59, 1 Ge 2.66
Ge (0.5778, 0.5778, 0.0000)  2 Ir 2.44, 1 Ge 2.47
Ge (0.8535, 0.2017, 0.6518)  3 Ir 2.44-2.59, 1 Ge 2.66
Ge (0.9236, 0.4236, 0.5000)  1 Ge 2.43, 2 Ir 2.44
Ir (0.1051, 0.3553, 0.7497)  5 Ge 2.44-2.59
Ir (0.3944, 0.6447, 0.7497)  5 Ge 2.44-2.59
Ir (0.6056, 0.3553, 0.2503)  5 Ge 2.44-2.59
Ir (0.8949, 0.6447, 0.2503)  5 Ge 2.44-2.59

---

# 2
UGeIr: optimized geometry, GGA-PBEsol.

a b c (Å): 6.5229 4.3125 7.6288
angles (deg): 90.00 90.00 90.00
Closest atoms and distances in Å follow each position.
Atoms (fractional coordinates):
U (0.0065, 0.2500, 0.2039)  5 Ir 2.80-3.05, 6 Ge 2.96-3.13
U (0.4935, 0.7500, 0.7039)  5 Ir 2.80-3.05, 6 Ge 2.96-3.13
U (0.5065, 0.2500, 0.2961)  5 Ir 2.80-3.05, 6 Ge 2.96-3.13
U (0.9935, 0.7500, 0.7961)  5 Ir 2.80-3.05, 6 Ge 2.96-3.13
Ge (0.1832, 0.2500, 0.5849)  4 Ir 2.54-2.68
Ge (0.3168, 0.7500, 0.0849)  4 Ir 2.54-2.68
Ge (0.6832, 0.2500, 0.9151)  4 Ir 2.54-2.68
Ge (0.8168, 0.7500, 0.4151)  4 Ir 2.54-2.68
Ir (0.2283, 0.7500, 0.4144)  4 Ge 2.54-2.68, 1 U 2.80
Ir (0.2717, 0.2500, 0.9144)  4 Ge 2.54-2.68, 1 U 2.80
Ir (0.7283, 0.7500, 0.0856)  4 Ge 2.54-2.68, 1 U 2.80
Ir (0.7717, 0.2500, 0.5856)  4 Ge 2.54-2.68, 1 U 2.80

---

# 3
Ge3IrW: optimized geometry, GGA-PBEsol.

a b c (Å): 4.7003 4.7003 4.7003
angles (deg): 90.00 90.00 90.00
Closest atoms and distances in Å follow each position.
Atoms (fractional coordinates):
Ge (0.0000, 0.0000, 0.5000)  2 Ir 2.35
Ge (0.0000, 0.5000, 0.0000)  2 Ir 2.35
Ge (0.5000, 0.0000, 0.0000)  2 Ir 2.35
Ir (0.0000, 0.0000, 0.0000)  6 Ge 2.35
W (0.5000, 0.5000, 0.5000)  12 Ge 3.32

---

# 4
GeIrW3: optimized geometry, GGA-PBEsol.

a b c (Å): 4.4671 4.4671 4.4671
angles (deg): 90.00 90.00 90.00
Closest atoms and distances in Å follow each position.
Atoms (fractional coordinates):
Ge (0.0000, 0.0000, 0.0000)  6 W 2.23
Ir (0.5000, 0.5000, 0.5000)  12 W 3.16
W (0.0000, 0.0000, 0.5000)  2 Ge 2.23
W (0.0000, 0.5000, 0.0000)  2 Ge 2.23
W (0.5000, 0.0000, 0.0000)  2 Ge 2.23

---

# 5
Y3Ge13Ir4: optimized geometry, GGA-PBEsol.

a b c (Å): 8.9281 8.9281 8.9281
angles (deg): 90.00 90.00 90.00
Closest atoms and distances in Å follow each position.
Atoms (fractional coordinates):
Y (0.0000, 0.2500, 0.5000)  12 Ge 3.10-3.21, 4 Ir 3.16
Y (0.0000, 0.7500, 0.5000)  12 Ge 3.10-3.21, 4 Ir 3.16
Y (0.2500, 0.5000, 0.0000)  12 Ge 3.10-3.21, 4 Ir 3.16
Y (0.5000, 0.0000, 0.2500)  12 Ge 3.10-3.21, 4 Ir 3.16
Y (0.5000, 0.0000, 0.7500)  12 Ge 3.10-3.21, 4 Ir 3.16
Y (0.7500, 0.5000, 0.0000)  12 Ge 3.10-3.21, 4 Ir 3.16
Ge (0.0000, 0.0000, 0.0000)  12 Ge 3.03
Ge (0.0000, 0.3069, 0.1446)  2 Ir 2.47, 1 Ge 2.58
Ge (0.0000, 0.3069, 0.8554)  2 Ir 2.47, 1 Ge 2.58
Ge (0.0000, 0.6931, 0.1446)  2 Ir 2.47, 1 Ge 2.58
Ge (0.0000, 0.6931, 0.8554)  2 Ir 2.47, 1 Ge 2.58
Ge (0.1446, 0.0000, 0.3069)  2 Ir 2.47, 1 Ge 2.58
Ge (0.1446, 0.0000, 0.6931)  2 Ir 2.47, 1 Ge 2.58
Ge (0.1931, 0.5000, 0.3554)  2 Ir 2.47, 1 Ge 2.58
Ge (0.1931, 0.5000, 0.6446)  2 Ir 2.47, 1 Ge 2.58
Ge (0.3069, 0.1446, 0.0000)  2 Ir 2.47, 1 Ge 2.58
Ge (0.3069, 0.8554, 0.0000)  2 Ir 2.47, 1 Ge 2.58
Ge (0.3554, 0.1931, 0.5000)  2 Ir 2.47, 1 Ge 2.58
Ge (0.3554, 0.8069, 0.5000)  2 Ir 2.47, 1 Ge 2.58
Ge (0.5000, 0.3554, 0.1931)  2 Ir 2.47, 1 Ge 2.58
Ge (0.5000, 0.3554, 0.8069)  2 Ir 2.47, 1 Ge 2.58
Ge (0.5000, 0.5000, 0.5000)  12 Ge 3.03
Ge (0.5000, 0.6446, 0.1931)  2 Ir 2.47, 1 Ge 2.58
Ge (0.5000, 0.6446, 0.8069)  2 Ir 2.47, 1 Ge 2.58
Ge (0.6446, 0.1931, 0.5000)  2 Ir 2.47, 1 Ge 2.58
Ge (0.6446, 0.8069, 0.5000)  2 Ir 2.47, 1 Ge 2.58
Ge (0.6931, 0.1446, 0.0000)  2 Ir 2.47, 1 Ge 2.58
Ge (0.6931, 0.8554, 0.0000)  2 Ir 2.47, 1 Ge 2.58
Ge (0.8069, 0.5000, 0.3554)  2 Ir 2.47, 1 Ge 2.58
Ge (0.8069, 0.5000, 0.6446)  2 Ir 2.47, 1 Ge 2.58
Ge (0.8554, 0.0000, 0.3069)  2 Ir 2.47, 1 Ge 2.58
Ge (0.8554, 0.0000, 0.6931)  2 Ir 2.47, 1 Ge 2.58
Ir (0.2500, 0.2500, 0.2500)  6 Ge 2.47
Ir (0.2500, 0.2500, 0.7500)  6 Ge 2.47
Ir (0.2500, 0.7500, 0.2500)  6 Ge 2.47
Ir (0.2500, 0.7500, 0.7500)  6 Ge 2.47
Ir (0.7500, 0.2500, 0.2500)  6 Ge 2.47
Ir (0.7500, 0.2500, 0.7500)  6 Ge 2.47
Ir (0.7500, 0.7500, 0.2500)  6 Ge 2.47
Ir (0.7500, 0.7500, 0.7500)  6 Ge 2.47

---

# 6
Y2Ge5Ir3: optimized geometry, GGA-PBEsol.

a b c (Å): 8.2915 8.2915 8.2915
angles (deg): 104.21 90.69 137.94
Closest atoms and distances in Å follow each position.
Atoms (fractional coordinates):
Y (0.1341, 0.2252, 0.3594)  8 Ge 2.94-3.22, 3 Ir 3.09-3.20
Y (0.3659, 0.7252, 0.0911)  8 Ge 2.94-3.22, 3 Ir 3.09-3.20
Y (0.6341, 0.2748, 0.9089)  8 Ge 2.94-3.22, 3 Ir 3.09-3.20
Y (0.8659, 0.7748, 0.6406)  8 Ge 2.94-3.22, 3 Ir 3.09-3.20
Ge (0.0273, 0.7500, 0.2773)  3 Ir 2.44-2.60, 2 Ge 2.66
Ge (0.0979, 0.6625, 0.7604)  3 Ir 2.36-2.50
Ge (0.2500, 0.2500, 0.0000)  4 Ir 2.50
Ge (0.4021, 0.1625, 0.5646)  3 Ir 2.36-2.50
Ge (0.4727, 0.7500, 0.7227)  3 Ir 2.44-2.60, 2 Ge 2.66
Ge (0.5273, 0.2500, 0.2773)  3 Ir 2.44-2.60, 2 Ge 2.66
Ge (0.5979, 0.8375, 0.4354)  3 Ir 2.36-2.50
Ge (0.7500, 0.7500, 0.0000)  4 Ir 2.50
Ge (0.9021, 0.3375, 0.2396)  3 Ir 2.36-2.50
Ge (0.9727, 0.2500, 0.7227)  3 Ir 2.44-2.60, 2 Ge 2.66
Ir (0.1422, 0.8887, 0.0309)  5 Ge 2.36-2.50
Ir (0.2500, 0.7500, 0.5000)  6 Ge 2.50-2.60
Ir (0.3578, 0.3887, 0.7465)  5 Ge 2.36-2.50
Ir (0.6422, 0.6113, 0.2535)  5 Ge 2.36-2.50
Ir (0.7500, 0.2500, 0.5000)  6 Ge 2.50-2.60
Ir (0.8578, 0.1113, 0.9691)  5 Ge 2.36-2.50

---

Per-record calculated formation energy, kJ/mol of formula units: -318, -153, 620, 891, -1111, -740